# 1
## Nd6Pt2Se3S (GGA-PBE)

Data for crystalline Nd6Pt2Se3S at its relaxed geometry.

SG: C2/m (12)

a b c (Å): 4.1360 8.5959 9.5605
angles (deg): 104.83 102.49 90.00
Closest atoms and distances in Å follow each position.
Sites, in units of the cell vectors:
1 Nd 0.3349 0.9022 0.6699  2 Pt 2.90, 1 S 2.97, 3 Se 3.03-3.10
2 Nd 0.6687 0.5775 0.3375  3 Pt 2.92-2.98, 3 Se 3.04-3.07
3 Nd 0.6651 0.0978 0.3301  2 Pt 2.90, 1 S 2.97, 3 Se 3.03-3.10
4 Nd 0.0028 0.2432 0.0057  2 S 2.93, 1 Pt 2.94, 3 Se 3.00-3.04
5 Nd 0.9972 0.7568 0.9943  2 S 2.93, 1 Pt 2.94, 3 Se 3.00-3.04
6 Nd 0.3313 0.4225 0.6625  3 Pt 2.92-2.98, 3 Se 3.04-3.07
7 Pt 0.8339 0.6644 0.6678  6 Nd 2.90-2.98
8 Pt 0.1661 0.3356 0.3322  6 Nd 2.90-2.98
9 Se 0.5000 0.5000 0.0000  6 Nd 3.04
10 Se 0.8364 0.1610 0.6728  6 Nd 3.00-3.10
11 Se 0.1636 0.8390 0.3272  6 Nd 3.00-3.10
12 S 0.5000 0.0000 0.0000  6 Nd 2.93-2.97

# 2
## ScSiP2S (GGA-PBE)

Data for crystalline ScSiP2S at its relaxed geometry.

Relative energy among the computed polymorphs, meV per atom: 503.0
SG: P4/mmm (123)

a b c (Å): 4.9290 4.9290 4.8340
angles (deg): 90.00 90.00 90.00
Closest atoms and distances in Å follow each position.
Sites, in units of the cell vectors:
1 Sc 0.0000 0.0000 0.0000  2 S 2.42, 4 P 2.46
2 P 0.0000 0.5000 0.0000  2 Sc 2.46
3 P 0.5000 0.0000 0.0000  2 Sc 2.46
4 S 0.0000 0.0000 0.5000  2 Sc 2.42
5 Si 0.5000 0.5000 0.5000  8 P 3.45, 4 S 3.49

| no. | formation energy from raw total energies (meV/atom) | D(E_F) (states/eV/atom) |
| --- | --- | --- |
| 1 | -1601.6 | 0.6907 |
| 2 | 520.1 | 1.0457 |